# 1
A plane-wave DFT calculation with PBE was carried out for a relaxed Al2InAu crystal. Values from VASP.

Computed properties:
Final energy = -13.73 eV for the cell shown
Volume = 19.55 Å³ per atom
Calculated formation energy = -0.056 eV/atom
DOS(E_F) = 1.03 states/eV/f.u.
Space-group type = No. 123

Geometry as Quantum ESPRESSO input:
```
&SYSTEM
  ibrav = 0, nat = 4, ntyp = 3
/
ATOMIC_SPECIES
Al 26.98 Al.upf
In 114.82 In.upf
Au 196.97 Au.upf
CELL_PARAMETERS angstrom
3.101 0.000 0.000
0.000 3.101 0.000
0.000 0.000 8.132
ATOMIC_POSITIONS angstrom
Al 0.000 0.000 1.717
Al 0.000 0.000 6.415
In 1.551 1.551 4.066
Au 1.551 1.551 0.000
```

---

# 2
A plane-wave DFT calculation with PBE was carried out for a relaxed Al3InAu3 crystal. Values from VASP.

Computed properties:
Final energy = -47.77 eV for the cell shown
Volume = 25.54 Å³ per atom
Calculated formation energy = -0.013 eV/atom
DOS(E_F) = 2.66 states/eV/f.u.
Space-group type = No. 223

Geometry as Quantum ESPRESSO input:
```
&SYSTEM
  ibrav = 0, nat = 14, ntyp = 3
/
ATOMIC_SPECIES
Al 26.98 Al.upf
In 114.82 In.upf
Au 196.97 Au.upf
CELL_PARAMETERS angstrom
7.098 0.000 0.000
0.000 7.098 0.000
0.000 0.000 7.098
ATOMIC_POSITIONS angstrom
Al 0.000 1.774 3.549
Al 0.000 5.323 3.549
Al 1.774 3.549 0.000
Al 3.549 0.000 1.774
Al 3.549 0.000 5.323
Al 5.323 3.549 0.000
In 0.000 0.000 0.000
In 3.549 3.549 3.549
Au 0.000 3.549 1.774
Au 0.000 3.549 5.323
Au 1.774 0.000 3.549
Au 3.549 1.774 0.000
Au 3.549 5.323 0.000
Au 5.323 0.000 3.549
```

---

# 3
A plane-wave DFT calculation with PBE was carried out for a relaxed AlInAu2 crystal. Values from VASP.

Computed properties:
Final energy = -13.56 eV for the cell shown
Volume = 19.22 Å³ per atom
Calculated formation energy = -0.131 eV/atom
DOS(E_F) = 1.61 states/eV/f.u.
Space-group type = No. 65

Geometry as Quantum ESPRESSO input:
```
&SYSTEM
  ibrav = 0, nat = 4, ntyp = 3
/
ATOMIC_SPECIES
Al 26.98 Al.upf
In 114.82 In.upf
Au 196.97 Au.upf
CELL_PARAMETERS angstrom
2.854 -3.726 0.000
2.854 3.726 0.000
0.000 0.000 3.616
ATOMIC_POSITIONS angstrom
Al 0.000 0.000 0.000
In 2.854 0.000 0.000
Au 1.427 1.863 1.808
Au 1.427 -1.863 1.808
```

---

# 4
A plane-wave DFT calculation with PBE was carried out for a relaxed AlInAu4 crystal. Values from VASP.

Computed properties:
Final energy = -41.45 eV for the cell shown
Volume = 18.95 Å³ per atom
Calculated formation energy = -0.189 eV/atom
Relative energy among the computed polymorphs = 9.0 meV/atom
DOS(E_F) = 1.62 states/eV/f.u.
Space-group type = No. 11

Geometry as Quantum ESPRESSO input:
```
&SYSTEM
  ibrav = 0, nat = 12, ntyp = 3
/
ATOMIC_SPECIES
Al 26.98 Al.upf
In 114.82 In.upf
Au 196.97 Au.upf
CELL_PARAMETERS angstrom
5.275 0.000 0.000
0.000 5.582 0.000
-2.294 0.000 7.720
ATOMIC_POSITIONS angstrom
Al 0.970 1.396 0.041
Al 2.012 4.187 7.679
In 0.315 1.396 4.765
In 2.666 4.187 2.956
Au 0.032 2.799 2.084
Au 0.032 5.575 2.084
Au 0.253 4.187 4.812
Au -0.494 4.187 7.717
Au 3.475 1.396 0.003
Au 2.728 1.396 2.908
Au 2.949 0.007 5.636
Au 2.949 2.784 5.636
```

---

# 5
A plane-wave DFT calculation with PBE was carried out for a relaxed Al2In2Au crystal. Values from VASP.

Computed properties:
Final energy = -30.37 eV for the cell shown
Volume = 22.26 Å³ per atom
Calculated formation energy = 0.211 eV/atom
Relative energy among the computed polymorphs = 251.9 meV/atom
DOS(E_F) = 2.26 states/eV/f.u.
Space-group type = No. 127

Geometry as Quantum ESPRESSO input:
```
&SYSTEM
  ibrav = 0, nat = 10, ntyp = 3
/
ATOMIC_SPECIES
Al 26.98 Al.upf
In 114.82 In.upf
Au 196.97 Au.upf
CELL_PARAMETERS angstrom
8.170 0.000 0.000
0.000 8.170 0.000
0.000 0.000 3.335
ATOMIC_POSITIONS angstrom
Al 0.951 3.133 0.000
Al 3.133 7.218 0.000
Al 5.036 0.951 0.000
Al 7.218 5.036 0.000
In 1.509 5.594 1.667
In 2.576 1.509 1.667
In 5.594 6.660 1.667
In 6.660 2.576 1.667
Au 0.000 0.000 1.667
Au 4.085 4.085 1.667
```

---

# 6
A plane-wave DFT calculation with PBE was carried out for a relaxed Al2In2Au crystal. Values from VASP.

Computed properties:
Final energy = -15.52 eV for the cell shown
Volume = 22.71 Å³ per atom
Calculated formation energy = 0.144 eV/atom
Relative energy among the computed polymorphs = 185.2 meV/atom
DOS(E_F) = 1.76 states/eV/f.u.
Space-group type = No. 139

Geometry as Quantum ESPRESSO input:
```
&SYSTEM
  ibrav = 0, nat = 5, ntyp = 3
/
ATOMIC_SPECIES
Al 26.98 Al.upf
In 114.82 In.upf
Au 196.97 Au.upf
CELL_PARAMETERS angstrom
-1.867 1.867 8.142
1.867 -1.867 8.142
1.867 1.867 -8.142
ATOMIC_POSITIONS angstrom
Al 1.867 0.000 4.071
Al 0.000 1.867 4.071
In 0.000 0.000 1.558
In 0.000 0.000 14.725
Au 0.000 0.000 8.142
```